1.
## HfAl3Rh (PBE-GGA)

Data for HfAl3Rh after structural relaxation.

Cell lengths 5.040, 5.040, 5.040 Å; angles 90.00, 90.00, 90.00 degrees
Fractional coordinates of all 5 atoms:
Hf  0.000  0.000  0.000
Al  0.000  0.000  0.500
Al  0.000  0.500  0.000
Al  0.500  0.000  0.000
Rh  0.500  0.500  0.500

Output
Uncorrected energy = -4.310 eV per atom
DFT formation energy = 1.3969 eV/atom
M_tot = 0.30 μB per formula unit
Fermi-level density of states = 0.96 states/eV per atom

2.
## CsGaP2S (PBE-GGA)

Data for CsGaP2S after structural relaxation.

Cell lengths 4.933, 4.933, 5.198 Å; angles 90.00, 90.00, 90.00 degrees
Fractional coordinates of all 5 atoms:
Cs  0.000  0.000  0.000
Ga  0.500  0.500  0.500
P  0.000  0.500  0.500
P  0.500  0.000  0.500
S  0.500  0.500  0.000

Output
Uncorrected energy = -3.435 eV per atom
M_tot = 1.15 μB per formula unit
ΔE_f (raw) = 0.3308 eV/atom
Fermi-level density of states = 0.75 states/eV per atom

3.
## ScMn2 (PBE-GGA)

Data for ScMn2 after structural relaxation.

Cell lengths 4.885, 4.885, 8.056 Å; angles 90.00, 90.00, 120.00 degrees
Fractional coordinates of all 12 atoms:
Sc  0.333  0.667  0.063
Sc  0.333  0.667  0.437
Sc  0.667  0.333  0.563
Sc  0.667  0.333  0.937
Mn  0.000  0.000  0.000
Mn  0.000  0.000  0.500
Mn  0.171  0.342  0.750
Mn  0.171  0.829  0.750
Mn  0.342  0.171  0.250
Mn  0.658  0.829  0.750
Mn  0.829  0.171  0.250
Mn  0.829  0.658  0.250

Output
Uncorrected energy = -8.363 eV per atom
DFT formation energy = -0.1391 eV/atom
M_tot = 0.00 μB per formula unit
Fermi-level density of states = 0.93 states/eV per atom

4.
## LiZnRh (PBE-GGA)

Data for LiZnRh after structural relaxation.

Cell lengths 4.137, 4.137, 2.721 Å; angles 90.00, 90.00, 120.00 degrees
Fractional coordinates of all 3 atoms:
Li  0.000  0.000  0.000
Zn  0.333  0.667  0.758
Rh  0.667  0.333  0.348

Output
Uncorrected energy = -3.770 eV per atom
DFT formation energy = -0.2573 eV/atom
M_tot = 0.32 μB per formula unit
Fermi-level density of states = 0.62 states/eV per atom